First-principles (PBE-GGA) data for ReSnCl2 after structural relaxation, as listed in the Alexandria database.

N(E_F) = 3.2 states/eV/f.u.
ΔE_f (raw) = 7.4 kcal/mol of atoms

Unit cell a=8.3925 b=8.3925 c=5.3157 alpha=90.00 beta=90.00 gamma=90.00
Space group I-42d (No. 122)
Asymmetric unit:
Re 0.0000 0.0000 0.0000
Sn 0.0000 0.0000 0.5000
Cl 0.1256 0.2500 0.1250

First-principles (PBE-GGA) data for ReSnCl3 after structural relaxation, as listed in the Alexandria database.

N(E_F) = 0.5 states/eV/f.u.
ΔE_f (raw) = 13.5 kcal/mol of atoms

Unit cell a=5.5062 b=5.5062 c=5.5062 alpha=90.00 beta=90.00 gamma=90.00
Space group Pm-3m (No. 221)
Asymmetric unit:
Re 0.0000 0.0000 0.0000
Sn 0.5000 0.5000 0.5000
Cl 0.0000 0.5000 0.5000